1.
A plane-wave DFT calculation with PBEsol was carried out for Ti3HSe after structural relaxation.

Properties
Calculated total energy   -6.91 eV/atom
Space group   No. 221

Lattice parameters (Å, degrees): 3.952 3.952 3.952 90.00 90.00 90.00
Sites, in units of the cell vectors:
Se1 0.500 0.500 0.500
Ti1 0.000 0.000 0.500
Ti2 0.500 0.000 0.000
Ti3 0.000 0.500 0.000
H1 0.000 0.000 0.000

***

2.
A plane-wave DFT calculation with PBEsol was carried out for YHSe2 after structural relaxation.

Properties
Calculated total energy   -5.58 eV/atom
Distance to the lowest polymorph of the same formula   34.2 meV/atom
Space group   No. 166

Lattice parameters (Å, degrees): 4.169 4.169 6.912 72.45 72.45 60.00
Sites, in units of the cell vectors:
Y1 0.500 0.500 0.500
H1 0.000 0.000 0.000
Se1 0.911 0.911 0.268
Se2 0.089 0.089 0.732

***

3.
A plane-wave DFT calculation with PBEsol was carried out for YHSe2 after structural relaxation.

Properties
Calculated total energy   -5.61 eV/atom
Distance to the lowest polymorph of the same formula   0.0 meV/atom
Space group   No. 31

Lattice parameters (Å, degrees): 4.102 5.597 8.159 90.00 90.00 90.00
Sites, in units of the cell vectors:
Se1 0.000 0.300 0.125
Se2 0.500 0.744 0.388
Se3 0.000 0.244 0.612
Se4 0.500 0.800 0.875
H1 0.500 0.545 0.929
H2 0.000 0.045 0.071
Y1 0.500 0.241 0.365
Y2 0.000 0.741 0.635

***

4.
A plane-wave DFT calculation with PBEsol was carried out for ZrHSe after structural relaxation.

Properties
Calculated total energy   -6.49 eV/atom
Space group   No. 8

Lattice parameters (Å, degrees): 3.507 5.029 5.376 103.26 90.00 110.41
Sites, in units of the cell vectors:
H1 0.086 0.172 0.698
H2 0.671 0.342 0.891
Zr1 0.614 0.228 0.504
Zr2 0.255 0.510 0.054
Se1 0.339 0.678 0.586
Se2 0.987 0.974 0.137

***

5.
A plane-wave DFT calculation with PBEsol was carried out for SiH8 after structural relaxation.

Properties
Calculated total energy   -3.51 eV/atom
Space group   No. 31

Lattice parameters (Å, degrees): 4.709 4.705 6.453 90.00 90.00 90.00
Sites, in units of the cell vectors:
H1 0.290 0.500 0.449
H2 0.761 0.000 0.836
H3 0.291 0.000 0.198
H4 0.228 0.000 0.089
H5 0.772 0.500 0.589
H6 0.709 0.500 0.698
H7 0.710 0.000 0.949
H8 0.753 0.760 0.276
H9 0.753 0.240 0.276
H10 0.239 0.500 0.336
H11 0.247 0.260 0.776
H12 0.014 0.500 0.009
H13 0.986 0.000 0.509
H14 0.494 0.500 0.007
H15 0.506 0.000 0.507
H16 0.247 0.740 0.776
Si1 0.247 0.000 0.642
Si2 0.753 0.500 0.142

***

6.
A plane-wave DFT calculation with PBEsol was carried out for SiH2 after structural relaxation.

Properties
Calculated total energy   -4.03 eV/atom
Space group   No. 11

Lattice parameters (Å, degrees): 4.337 6.412 12.543 90.00 90.00 96.74
Sites, in units of the cell vectors:
H1 0.095 0.439 0.560
H2 0.095 0.439 0.940
H3 0.697 0.977 0.878
H4 0.854 0.215 0.111
H5 0.146 0.785 0.611
H6 0.461 0.739 0.009
H7 0.697 0.977 0.622
H8 0.899 0.352 0.750
H9 0.905 0.561 0.440
H10 0.101 0.648 0.250
H11 0.539 0.261 0.991
H12 0.905 0.561 0.060
H13 0.303 0.023 0.122
H14 0.362 0.335 0.250
H15 0.539 0.261 0.509
H16 0.638 0.665 0.750
H17 0.461 0.739 0.491
H18 0.146 0.785 0.889
H19 0.854 0.215 0.389
H20 0.303 0.023 0.378
Si1 0.420 0.571 0.250
Si2 0.683 0.709 0.402
Si3 0.970 0.021 0.344
Si4 0.683 0.709 0.098
Si5 0.317 0.291 0.598
Si6 0.317 0.291 0.902
Si7 0.030 0.979 0.656
Si8 0.030 0.979 0.844
Si9 0.580 0.429 0.750
Si10 0.970 0.021 0.156

***

7.
A plane-wave DFT calculation with PBEsol was carried out for SiH8 after structural relaxation.

Properties
Calculated total energy   -3.51 eV/atom
Space group   No. 119

Lattice parameters (Å, degrees): 4.634 4.634 4.634 91.95 118.88 118.88
Sites, in units of the cell vectors:
H1 0.740 0.866 0.606
H2 0.500 0.310 0.810
H3 0.260 0.394 0.134
H4 0.000 0.441 0.441
H5 0.260 0.866 0.126
H6 0.740 0.874 0.134
H7 0.000 0.559 0.559
H8 0.500 0.190 0.690
Si1 0.000 0.000 0.000

***

8.
A plane-wave DFT calculation with PBEsol was carried out for SiSnH2 after structural relaxation.

Properties
Calculated total energy   -3.45 eV/atom
Space group   No. 225

Lattice parameters (Å, degrees): 4.024 4.024 4.024 60.00 60.00 60.00
Sites, in units of the cell vectors:
Sn1 0.500 0.500 0.500
H1 0.250 0.250 0.250
H2 0.750 0.750 0.750
Si1 0.000 0.000 0.000